DFT (PBE with a Hubbard U) results for a relaxed structure of Cs2PmFeO4.

Structure (extended XYZ):
```
16
Lattice="-6.1825 -1.5189 1.6990 2.1960 -1.2172 6.9030 -1.2797 7.0559 1.6512" Properties=species:S:1:pos:R:3 pbc="T T T"
Fe 0.3831 -0.2125 1.2048
Cs -5.5753 2.9059 7.8634
Fe -1.9181 1.7638 7.3733
Cs -2.7822 0.6573 3.2397
O -1.9170 0.3179 6.0891
O 0.3802 1.2329 2.4895
O -0.1285 1.9341 8.0323
O -0.3170 5.0772 3.3891
Cs -4.9350 -0.6247 7.0372
Pm -6.4746 1.8164 3.6172
O -1.4055 -0.3819 0.5428
O -4.6838 -1.1878 1.4456
Pm -1.2430 -1.7840 6.6599
O -2.4995 3.5296 6.8407
Cs -3.4215 4.1825 4.0647
O -3.0314 1.2202 8.8333
```

Computed properties:
Final energy (eV per atom): -5.953
Magnetic moment (μB per formula unit): 5.0